[1]
An optimized crystal structure of Rb2MoF6. Source: Alexandria, functional PBE with a Hubbard U.

Cell: 6.364 6.364 6.370 Å, 58.85 58.85 59.04°
Last column: magnetic moment on the atom in μB.
Sites, in units of the cell vectors:
Rb (0.252, 0.252, 0.252)  0.00
Rb (0.748, 0.748, 0.748)  0.00
Mo (0.500, 0.500, 0.500)  1.86
F (0.276, 0.276, 0.721)  0.02
F (0.276, 0.722, 0.276)  0.02
F (0.724, 0.278, 0.724)  0.02
F (0.722, 0.276, 0.276)  0.02
F (0.278, 0.724, 0.724)  0.02
F (0.724, 0.724, 0.279)  0.02

Fermi-level density of states   0.0 states/eV/f.u.
Theoretical density   3.6 g cm⁻³
Total moment   2.000 μB/f.u.
Total DFT energy (no corrections)   -4.99 eV/atom

[2]
An optimized crystal structure of Rb4MoF7. Source: Alexandria, functional PBE with a Hubbard U.

Cell: 4.296 7.337 9.284 Å, 79.89 76.62 72.98°
Last column: magnetic moment on the atom in μB.
Sites, in units of the cell vectors:
Rb (0.579, 0.573, 0.270)  0.00
Rb (0.421, 0.427, 0.730)  0.00
Rb (0.715, 0.904, 0.666)  0.00
Rb (0.285, 0.096, 0.334)  0.00
Mo (0.000, 0.000, 0.000)  2.77
F (0.822, 0.246, 0.110)  0.03
F (0.178, 0.754, 0.890)  0.03
F (0.021, 0.166, 0.792)  0.02
F (0.979, 0.834, 0.208)  0.02
F (0.362, 0.752, 0.525)  0.00
F (0.500, 0.000, 0.000)  0.03
F (0.638, 0.248, 0.475)  0.00

Fermi-level density of states   0.0 states/eV/f.u.
Theoretical density   3.5 g cm⁻³
Total moment   3.000 μB/f.u.
Total DFT energy (no corrections)   -4.69 eV/atom

[3]
An optimized crystal structure of Rb3MoF7. Source: Alexandria, functional PBE with a Hubbard U.

Cell: 6.467 6.467 6.784 Å, 62.85 62.85 88.58°
Last column: magnetic moment on the atom in μB.
Sites, in units of the cell vectors:
Rb (0.757, 0.230, 0.494)  0.00
Rb (0.490, 0.490, 0.958)  0.00
Rb (0.230, 0.757, 0.494)  0.00
Mo (0.957, 0.957, 0.036)  1.90
F (0.120, 0.120, 0.148)  0.03
F (0.673, 0.106, 0.165)  0.00
F (0.009, 0.280, 0.731)  0.01
F (0.106, 0.673, 0.165)  0.00
F (0.701, 0.701, 0.415)  0.01
F (0.280, 0.009, 0.731)  0.01
F (0.802, 0.802, 0.913)  0.03

Fermi-level density of states   0.0 states/eV/f.u.
Theoretical density   3.7 g cm⁻³
Total moment   2.000 μB/f.u.
Total DFT energy (no corrections)   -4.84 eV/atom

[4]
An optimized crystal structure of Rb2MoF5. Source: Alexandria, functional PBE with a Hubbard U.

Cell: 6.110 8.052 12.482 Å, 90.00 90.00 90.00°
Last column: magnetic moment on the atom in μB.
Sites, in units of the cell vectors:
Rb (0.750, 0.501, 0.268)  0.00
Rb (0.250, 0.499, 0.732)  0.00
Rb (0.250, 0.999, 0.768)  0.00
Rb (0.750, 0.001, 0.232)  0.00
Rb (0.750, 0.855, 0.583)  0.00
Rb (0.250, 0.145, 0.417)  0.00
Rb (0.250, 0.645, 0.083)  0.00
Rb (0.750, 0.355, 0.917)  0.00
Mo (0.750, 0.834, 0.941)  2.77
Mo (0.250, 0.166, 0.059)  2.77
Mo (0.250, 0.666, 0.441)  2.77
Mo (0.750, 0.334, 0.559)  2.77
F (0.750, 0.718, 0.092)  0.02
F (0.250, 0.282, 0.908)  0.02
F (0.250, 0.782, 0.592)  0.02
F (0.750, 0.218, 0.408)  0.02
F (0.505, 0.676, 0.889)  0.03
F (0.495, 0.324, 0.111)  0.03
F (0.495, 0.824, 0.389)  0.03
F (0.005, 0.324, 0.111)  0.03
F (0.505, 0.176, 0.611)  0.03
F (0.995, 0.676, 0.889)  0.03
F (0.995, 0.176, 0.611)  0.03
F (0.005, 0.824, 0.389)  0.03
F (0.500, 0.000, 0.000)  0.03
F (0.500, 0.500, 0.500)  0.03
F (0.000, 0.000, 0.000)  0.03
F (0.000, 0.500, 0.500)  0.03
F (0.750, 0.966, 0.798)  0.03
F (0.250, 0.034, 0.202)  0.03
F (0.250, 0.534, 0.298)  0.03
F (0.750, 0.466, 0.702)  0.03

Energy relative to the lowest polymorph listed for this composition   0.000 eV per atom
Fermi-level density of states   0.0 states/eV/f.u.
Theoretical density   3.9 g cm⁻³
Total moment   3.000 μB/f.u.
Total DFT energy (no corrections)   -5.04 eV/atom

Repeat the fourth record exactly.
An optimized crystal structure of Rb2MoF5. Source: Alexandria, functional PBE with a Hubbard U.

Cell: 6.110 8.052 12.482 Å, 90.00 90.00 90.00°
Last column: magnetic moment on the atom in μB.
Sites, in units of the cell vectors:
Rb (0.750, 0.501, 0.268)  0.00
Rb (0.250, 0.499, 0.732)  0.00
Rb (0.250, 0.999, 0.768)  0.00
Rb (0.750, 0.001, 0.232)  0.00
Rb (0.750, 0.855, 0.583)  0.00
Rb (0.250, 0.145, 0.417)  0.00
Rb (0.250, 0.645, 0.083)  0.00
Rb (0.750, 0.355, 0.917)  0.00
Mo (0.750, 0.834, 0.941)  2.77
Mo (0.250, 0.166, 0.059)  2.77
Mo (0.250, 0.666, 0.441)  2.77
Mo (0.750, 0.334, 0.559)  2.77
F (0.750, 0.718, 0.092)  0.02
F (0.250, 0.282, 0.908)  0.02
F (0.250, 0.782, 0.592)  0.02
F (0.750, 0.218, 0.408)  0.02
F (0.505, 0.676, 0.889)  0.03
F (0.495, 0.324, 0.111)  0.03
F (0.495, 0.824, 0.389)  0.03
F (0.005, 0.324, 0.111)  0.03
F (0.505, 0.176, 0.611)  0.03
F (0.995, 0.676, 0.889)  0.03
F (0.995, 0.176, 0.611)  0.03
F (0.005, 0.824, 0.389)  0.03
F (0.500, 0.000, 0.000)  0.03
F (0.500, 0.500, 0.500)  0.03
F (0.000, 0.000, 0.000)  0.03
F (0.000, 0.500, 0.500)  0.03
F (0.750, 0.966, 0.798)  0.03
F (0.250, 0.034, 0.202)  0.03
F (0.250, 0.534, 0.298)  0.03
F (0.750, 0.466, 0.702)  0.03

Energy relative to the lowest polymorph listed for this composition   0.000 eV per atom
Fermi-level density of states   0.0 states/eV/f.u.
Theoretical density   3.9 g cm⁻³
Total moment   3.000 μB/f.u.
Total DFT energy (no corrections)   -5.04 eV/atom